## MgMnSe2 (PBE)

Data for MgMnSe2 after structural relaxation.

Unit cell a=3.8123 b=3.8123 c=19.9038 alpha=90.00 beta=90.00 gamma=120.00
Closest atoms and distances in Å follow each position.
Space group R3m (No. 160, hexagonal axes)
Asymmetric unit:
Mg 0.0000 0.0000 0.0000 [3 per cell]  6 Se 2.74
Mn 0.0000 0.0000 0.8327 [3 per cell]  6 Se 2.77-2.78
Se 0.0000 0.0000 0.4150 [3 per cell]  3 Mg 2.74, 3 Mn 2.77
Se 0.0000 0.0000 0.5844 [3 per cell]  3 Mg 2.74, 3 Mn 2.78

**E**: -61.68 eV per cell

## ZnNi2Rh (PBE)

Data for ZnNi2Rh after structural relaxation.

Unit cell a=3.6476 b=3.6476 c=3.7487 alpha=90.00 beta=90.00 gamma=90.00
Closest atoms and distances in Å follow each position.
Space group P4/mmm (No. 123)
Asymmetric unit:
Zn 0.0000 0.0000 0.0000 [1 per cell]  4 Rh 2.58, 8 Ni 2.62
Ni 0.0000 0.5000 0.5000 [2 per cell]  4 Ni 2.58, 4 Rh 2.62, 4 Zn 2.62
Rh 0.5000 0.5000 0.0000 [1 per cell]  4 Zn 2.58, 8 Ni 2.62

**E**: -20.62 eV per cell
**Density of states at the Fermi level**: 5.5 states/eV per cell
**E_form**: -0.11 eV per atom

## Bi2SeN2 (PBE)

Data for Bi2SeN2 after structural relaxation.

Unit cell a=3.9200 b=5.7496 c=8.9129 alpha=92.43 beta=100.37 gamma=109.44
Closest atoms and distances in Å follow each position.
Space group P-1 (No. 2)
Asymmetric unit:
Bi 0.2479 0.4058 0.1120 [2 per cell]  2 Se 3.02-3.04, 2 Bi 3.02-3.04
Se 0.5000 0.0000 0.0000 [1 per cell]  4 Bi 3.02-3.04
N 0.4340 0.8973 0.4969 [2 per cell]  1 N 1.11

**E**: -27.48 eV per cell
**Density of states at the Fermi level**: 1.0 states/eV per cell

## MgAlInBi (PBE)

Data for MgAlInBi after structural relaxation.

Unit cell a=7.3625 b=7.3625 c=7.3625 alpha=90.00 beta=90.00 gamma=90.00
Closest atoms and distances in Å follow each position.
Space group F-43m (No. 216)
Asymmetric unit:
Mg 0.0000 0.0000 0.0000 [4 per cell]  4 In 3.19, 4 Bi 3.19
Al 0.0000 0.0000 0.5000 [4 per cell]  4 In 3.19, 4 Bi 3.19
In 0.2500 0.2500 0.7500 [4 per cell]  4 Mg 3.19, 4 Al 3.19
Bi 0.2500 0.2500 0.2500 [4 per cell]  4 Mg 3.19, 4 Al 3.19

**E**: -46.46 eV per cell
**Density of states at the Fermi level**: 7.0 states/eV per cell
**E_form**: 0.09 eV per atom